[1]
A plane-wave DFT calculation with PBE-GGA was carried out for ZrCo2HgMo after structural relaxation.

The space group is P4/mmm (No. 123) and the conventional cell measures 4.593, 4.593 and 4.893 Å, with angles of 90.00, 90.00 and 90.00 degrees. The asymmetric unit holds Zr at (0.000, 0.000, 0.000), Co at (0.000, 0.500, 0.000), Hg at (0.500, 0.500, 0.500) and Mo at (0.000, 0.000, 0.500).

The size of the total moment comes out at 3.38 μB per cell. The energy relative to the elements comes out at 1.555 eV per atom. As for the uncorrected energy: -26.12 eV per formula unit. Its crystal system is tetragonal.

[2]
A plane-wave DFT calculation with PBE-GGA was carried out for ZrCoHgMo2 after structural relaxation.

The space group is P4/mmm (No. 123) and the conventional cell measures 4.734, 4.734 and 5.282 Å, with angles of 90.00, 90.00 and 90.00 degrees. The asymmetric unit holds Zr at (0.000, 0.000, 0.000), Co at (0.500, 0.500, 0.500), Hg at (0.000, 0.000, 0.500) and Mo at (0.000, 0.500, 0.000).

The size of the total moment comes out at 1.43 μB per cell. The energy relative to the elements comes out at 2.147 eV per atom. As for the uncorrected energy: -26.89 eV per formula unit. Its crystal system is tetragonal.

[3]
A plane-wave DFT calculation with PBE-GGA was carried out for CoHgN3 after structural relaxation.

The space group is Pm-3m (No. 221) and the conventional cell measures 3.771, 3.771 and 3.771 Å, with angles of 90.00, 90.00 and 90.00 degrees. The asymmetric unit holds Co at (0.000, 0.000, 0.000), Hg at (0.500, 0.500, 0.500) and N at (0.000, 0.000, 0.500).

The size of the total moment comes out at 0.01 μB per cell. As for the uncorrected energy: -23.82 eV per formula unit. Its crystal system is cubic.

[4]
A plane-wave DFT calculation with PBE-GGA was carried out for CoHg3N after structural relaxation.

The space group is Pm-3m (No. 221) and the conventional cell measures 4.974, 4.974 and 4.974 Å, with angles of 90.00, 90.00 and 90.00 degrees. The asymmetric unit holds Co at (0.000, 0.000, 0.000), Hg at (0.000, 0.000, 0.500) and N at (0.500, 0.500, 0.500).

The size of the total moment comes out at 1.06 μB per cell. As for the uncorrected energy: -8.37 eV per formula unit. Its crystal system is cubic.

[5]
A plane-wave DFT calculation with PBE-GGA was carried out for Co2Hg2N after structural relaxation.

The space group is I4/mmm (No. 139) and the conventional cell measures 3.250, 3.250 and 14.951 Å, with angles of 90.00, 90.00 and 90.00 degrees. The asymmetric unit holds Co at (0.000, 0.500, 0.250), Hg at (0.000, 0.000, 0.099) and N at (0.000, 0.000, 0.500).

The size of the total moment comes out at 9.85 μB per cell. As for the uncorrected energy: -17.59 eV per formula unit. Its crystal system is tetragonal.

[6]
A plane-wave DFT calculation with PBE-GGA was carried out for CoHgN2 after structural relaxation.

The space group is I-42d (No. 122) and the conventional cell measures 5.187, 5.187 and 7.940 Å, with angles of 90.00, 90.00 and 90.00 degrees. The asymmetric unit holds Co at (0.000, 0.000, 0.000), Hg at (0.000, 0.000, 0.500) and N at (0.141, 0.250, 0.125).

The size of the total moment comes out at 0.00 μB per cell. As for the uncorrected energy: -20.89 eV per formula unit. Its crystal system is tetragonal.

[7]
A plane-wave DFT calculation with PBE-GGA was carried out for CoHgN2 after structural relaxation.

The space group is R-3m (No. 166, hexagonal axes) and the conventional cell measures 3.3991, 3.3991 and 17.6680 Å, with angles of 90.00, 90.00 and 120.00 degrees. The asymmetric unit holds Co at (0.0000, 0.0000, 0.0000), Hg at (0.0000, 0.0000, 0.5000) and N at (0.0000, 0.0000, 0.0973).

The size of the total moment comes out at 3.09 μB per cell. As for the uncorrected energy: -18.30 eV per formula unit. Its crystal system is trigonal.

[8]
A plane-wave DFT calculation with PBE-GGA was carried out for CoHgN3 after structural relaxation.

The space group is Pm-3m (No. 221) and the conventional cell measures 4.136, 4.136 and 4.136 Å, with angles of 90.00, 90.00 and 90.00 degrees. The asymmetric unit holds Co at (0.000, 0.000, 0.000), Hg at (0.500, 0.500, 0.500) and N at (0.000, 0.500, 0.500).

The size of the total moment comes out at 1.56 μB per cell. As for the uncorrected energy: -17.05 eV per formula unit. Its crystal system is cubic.

[9]
A plane-wave DFT calculation with PBE-GGA was carried out for CoHgN2 after structural relaxation.

The space group is R-3m (No. 166, hexagonal axes) and the conventional cell measures 2.9646, 2.9646 and 18.5568 Å, with angles of 90.00, 90.00 and 120.00 degrees. The asymmetric unit holds Co at (0.0000, 0.0000, 0.0000), Hg at (0.0000, 0.0000, 0.5000) and N at (0.0000, 0.0000, 0.3838).

The size of the total moment comes out at 0.77 μB per cell. As for the uncorrected energy: -21.21 eV per formula unit. Its crystal system is trigonal.

[10]
A plane-wave DFT calculation with PBE-GGA was carried out for CoHg3N after structural relaxation.

The space group is Pm-3m (No. 221) and the conventional cell measures 4.679, 4.679 and 4.679 Å, with angles of 90.00, 90.00 and 90.00 degrees. The asymmetric unit holds Co at (0.000, 0.000, 0.000), Hg at (0.000, 0.500, 0.500) and N at (0.500, 0.500, 0.500).

The size of the total moment comes out at 1.90 μB per cell. As for the uncorrected energy: -9.89 eV per formula unit. Its crystal system is cubic.

[11]
A plane-wave DFT calculation with PBE-GGA was carried out for Co2Hg2N after structural relaxation.

The space group is P4/mbm (No. 127) and the conventional cell measures 6.401, 6.401 and 4.019 Å, with angles of 90.00, 90.00 and 90.00 degrees. The asymmetric unit holds Co at (0.125, 0.375, 0.000), Hg at (0.170, 0.670, 0.500) and N at (0.000, 0.000, 0.500).

The size of the total moment comes out at 7.71 μB per cell. As for the uncorrected energy: -16.54 eV per formula unit. Its crystal system is tetragonal.

[12]
A plane-wave DFT calculation with PBE-GGA was carried out for CoHg2N after structural relaxation.

The space group is I-42d (No. 122) and the conventional cell measures 9.418, 9.418 and 3.432 Å, with angles of 90.00, 90.00 and 90.00 degrees. The asymmetric unit holds Co at (0.000, 0.000, 0.000), Hg at (0.119, 0.250, 0.625) and N at (0.000, 0.000, 0.500).

The size of the total moment comes out at 0.00 μB per cell. As for the uncorrected energy: -13.92 eV per formula unit. Its crystal system is tetragonal.

[13]
A plane-wave DFT calculation with PBE-GGA was carried out for Na2CoHgN after structural relaxation.

The space group is P4/mmm (No. 123) and the conventional cell measures 5.153, 5.153 and 3.458 Å, with angles of 90.00, 90.00 and 90.00 degrees. The asymmetric unit holds Na at (0.000, 0.500, 0.000), Co at (0.000, 0.000, 0.500), Hg at (0.500, 0.500, 0.500) and N at (0.000, 0.000, 0.000).

The size of the total moment comes out at 0.00 μB per cell. As for the uncorrected energy: -18.71 eV per formula unit. Its crystal system is tetragonal.

[14]
A plane-wave DFT calculation with PBE-GGA was carried out for NbCo2HgN after structural relaxation.

The space group is P4/mmm (No. 123) and the conventional cell measures 4.429, 4.429 and 5.512 Å, with angles of 90.00, 90.00 and 90.00 degrees. The asymmetric unit holds Nb at (0.000, 0.000, 0.000), Co at (0.000, 0.500, 0.000), Hg at (0.000, 0.000, 0.500) and N at (0.500, 0.500, 0.500).

The size of the total moment comes out at 1.08 μB per cell. As for the uncorrected energy: -20.60 eV per formula unit. Its crystal system is tetragonal.

[15]
A plane-wave DFT calculation with PBE-GGA was carried out for Co2NiHgN after structural relaxation.

The space group is P4/mmm (No. 123) and the conventional cell measures 3.840, 3.840 and 3.940 Å, with angles of 90.00, 90.00 and 90.00 degrees. The asymmetric unit holds Co at (0.000, 0.500, 0.000), Ni at (0.000, 0.000, 0.500), Hg at (0.500, 0.500, 0.500) and N at (0.000, 0.000, 0.000).

The size of the total moment comes out at 2.31 μB per cell. As for the uncorrected energy: -28.12 eV per formula unit. Its crystal system is tetragonal.